NaNbSeS | GGA-PBE | relaxed

## Properties
Crystal system ... hexagonal
Distance to the lowest polymorph of the same formula ... 0.003 eV/atom
V ... 154.6 Å³ per cell

Cell: 3.4920 3.4920 14.6349 Å, 90.00 90.00 120.00°
Closest atoms and distances in Å follow each position.
Space group P-6m2 (No. 187)
Unique sites:
1 Na 0.0000 0.0000 0.2410 (multiplicity 2)  3 S 2.83, 3 Se 2.92
2 Nb 0.0000 0.0000 0.0000 (multiplicity 1)  6 S 2.54
3 Nb 0.0000 0.0000 0.5000 (multiplicity 1)  6 Se 2.62
4 Se 0.6667 0.3333 0.3853 (multiplicity 2)  3 Nb 2.62, 3 Na 2.92
5 S 0.3333 0.6667 0.1054 (multiplicity 2)  3 Nb 2.54, 3 Na 2.83